Computed, not measured: crystalline Ce2DyAl at its relaxed geometry at the GGA-PBE level of DFT.

a b c (Å): 3.1817 3.1817 35.0438
angles (deg): 90.00 90.00 120.00
Space group R-3m (No. 166, hexagonal axes)
Symmetry-distinct sites (fractional):
Ce 0.0000 0.0000 0.0917
Dy 0.0000 0.0000 0.0000
Al 0.0000 0.0000 0.5000

Results
D(E_F)   25.289 states/eV per cell
Offset from the most stable computed form   29.0 kJ/mol of atoms
E_tot   -59.21 eV/cell
Calculated volume   25.60 Å³/atom